Density functional theory data (PBE-GGA) for a relaxed structure of TaNi2Ge.

For the calculated formation energy, the calculation gives 71.8 meV per atom. The total energy is -110.983 eV for the cell shown. For the volume, the calculation gives 236.8 Å³ per cell.

The space group is I-42d (No. 122) and the conventional cell measures 3.745, 3.745 and 16.887 Å, with angles of 90.00, 90.00 and 90.00 degrees. The inequivalent atoms are Ta at (0.000, 0.000, 0.000), Ni at (0.232, 0.250, 0.625) and Ge at (0.000, 0.000, 0.500).